1.
An optimized crystal structure of RbNa3Rh. Source: Alexandria via LeMat-Bulk, functional PBE-GGA.

Cell: 5.7514 5.7514 5.7514 Å, 90.00 90.00 90.00°
Closest atoms and distances in Å follow each position.
Fractional coordinates of all 5 atoms:
1 Na 0.0000 0.0000 0.5000  2 Rb 2.88
2 Na 0.5000 0.0000 0.0000  2 Rb 2.88
3 Na 0.0000 0.5000 0.0000  2 Rb 2.88
4 Rb 0.0000 0.0000 0.0000  6 Na 2.88
5 Rh 0.5000 0.5000 0.5000  12 Na 4.07

E above lowest polymorph, eV per atom: 0.8781
E, eV/atom: -1.235



2.
An optimized crystal structure of TbGa2O4. Source: Alexandria via LeMat-Bulk, functional PBE-GGA.

Cell: 4.5257 4.5257 5.3606 Å, 90.00 90.00 90.00°
Closest atoms and distances in Å follow each position.
Fractional coordinates of all 7 atoms:
1 O 0.2429 0.2429 0.2943  2 Ga 1.94
2 O 0.7571 0.7571 0.2943  2 Ga 1.94
3 Tb 0.0000 0.0000 0.0000  4 O 2.22
4 O 0.7571 0.2429 0.7057  2 Ga 1.94
5 Ga 0.0000 0.5000 0.5000  4 O 1.94
6 Ga 0.5000 0.0000 0.5000  4 O 1.94
7 O 0.2429 0.7571 0.7057  2 Ga 1.94

E_form (uncorrected), eV/atom: -2.055
E above lowest polymorph, eV per atom: 0.1883
E, eV/atom: -6.415



3.
An optimized crystal structure of Tb3Al3Hg. Source: Alexandria via LeMat-Bulk, functional PBE-GGA.

Cell: 4.5447 5.9648 13.8486 Å, 83.59 80.56 67.61°
Closest atoms and distances in Å follow each position.
Fractional coordinates of all 14 atoms:
1 Tb 0.5322 0.3131 0.6224  6 Al 3.12-3.29, 4 Hg 3.22-3.45
2 Al 0.1261 0.2920 0.4558  1 Al 2.65, 3 Hg 2.68-2.95
3 Tb 0.3979 0.2824 0.9218  7 Al 3.14-3.27
4 Al 0.8739 0.7080 0.5442  1 Al 2.65, 3 Hg 2.68-2.95
5 Al 0.0286 0.1710 0.7717  1 Al 2.67, 1 Hg 2.74
6 Tb 0.2620 0.2582 0.2178  6 Al 3.10-3.28, 2 Hg 3.35
7 Tb 0.4678 0.6869 0.3776  6 Al 3.12-3.29, 4 Hg 3.22-3.45
8 Tb 0.6021 0.7176 0.0782  7 Al 3.14-3.27
9 Tb 0.7380 0.7418 0.7822  6 Al 3.10-3.28, 2 Hg 3.35
10 Al 0.1087 0.8555 0.9270  2 Al 2.62-2.67
11 Al 0.8913 0.1445 0.0730  2 Al 2.62-2.67
12 Hg 0.7543 0.1018 0.3897  4 Al 2.68-2.95
13 Hg 0.2457 0.8982 0.6103  4 Al 2.68-2.95
14 Al 0.9714 0.8290 0.2283  1 Al 2.67, 1 Hg 2.74

E, eV/atom: -4.054



4.
An optimized crystal structure of Ca2HgCl. Source: Alexandria via LeMat-Bulk, functional PBE-GGA.

Cell: 8.4093 8.4093 8.4093 Å, 154.54 152.89 37.53°
Closest atoms and distances in Å follow each position.
Fractional coordinates of all 4 atoms:
1 Cl 0.5439 0.5439 0.0000  6 Ca 3.09-3.18
2 Ca 0.7062 0.2062 0.5000  4 Hg 3.09, 2 Cl 3.18
3 Hg 0.3001 0.8002 0.5000  6 Ca 3.09
4 Ca 0.9498 0.9498 0.0000  2 Hg 3.09, 4 Cl 3.09

E_form (uncorrected), eV/atom: -0.955
E above lowest polymorph, eV per atom: 0.1244
E, eV/atom: -2.493



5.
An optimized crystal structure of Ac6Sm5Er. Source: Alexandria via LeMat-Bulk, functional PBE-GGA.

Cell: 5.4758 10.3541 10.0584 Å, 120.98 105.79 90.00°
Closest atoms and distances in Å follow each position.
Fractional coordinates of all 12 atoms:
1 Ac 0.5000 0.7523 0.0000  6 Sm 3.74-3.78, 2 Er 3.75, 4 Ac 3.86
2 Ac 0.8340 0.5852 0.6680  1 Er 3.74, 7 Sm 3.76-3.78, 4 Ac 3.86-3.88
3 Ac 0.1660 0.9173 0.3320  1 Er 3.74, 7 Sm 3.76-3.78, 4 Ac 3.86-3.88
4 Sm 0.6667 0.1667 0.3335  8 Ac 3.74-3.77, 2 Er 3.86, 2 Sm 3.87
5 Sm 0.0000 0.5000 0.0000  8 Ac 3.76-3.78, 4 Sm 3.86
6 Sm 0.6660 0.6660 0.3321  8 Ac 3.77-3.78, 4 Sm 3.86-3.87
7 Sm 0.3333 0.8333 0.6665  8 Ac 3.74-3.77, 2 Er 3.86, 2 Sm 3.87
8 Er 0.0000 0.0000 0.0000  8 Ac 3.74-3.75, 4 Sm 3.86
9 Sm 0.3340 0.3340 0.6679  8 Ac 3.77-3.78, 4 Sm 3.86-3.87
10 Ac 0.8340 0.0827 0.6680  1 Er 3.74, 7 Sm 3.76-3.78, 4 Ac 3.86-3.88
11 Ac 0.1660 0.4148 0.3320  1 Er 3.74, 7 Sm 3.76-3.78, 4 Ac 3.86-3.88
12 Ac 0.5000 0.2477 0.0000  6 Sm 3.74-3.78, 2 Er 3.75, 4 Ac 3.86

E, eV/atom: -4.363



6.
An optimized crystal structure of Tb2ScV. Source: Alexandria via LeMat-Bulk, functional PBE-GGA.

Cell: 3.3033 3.3033 11.3266 Å, 81.62 81.62 60.00°
Closest atoms and distances in Å follow each position.
Fractional coordinates of all 4 atoms:
1 Sc 0.5000 0.5000 0.5000  6 Sc 3.30, 6 Tb 3.35
2 V 0.0000 0.0000 0.0000  2 Tb 2.82
3 Tb 0.9157 0.9157 0.2530  1 V 2.82
4 Tb 0.0843 0.0843 0.7470  1 V 2.82

E, eV/atom: -5.573



7.
An optimized crystal structure of Pm3EuH. Source: Alexandria via LeMat-Bulk, functional PBE-GGA.

Cell: 5.1764 5.1764 5.1764 Å, 90.00 90.00 90.00°
Closest atoms and distances in Å follow each position.
Fractional coordinates of all 5 atoms:
1 H 0.0000 0.0000 0.0000  6 Pm 2.59
2 Pm 0.0000 0.5000 0.0000  2 H 2.59
3 Eu 0.5000 0.5000 0.5000  12 Pm 3.66
4 Pm 0.5000 0.0000 0.0000  2 H 2.59
5 Pm 0.0000 0.0000 0.5000  2 H 2.59

E, eV/atom: -5.711



8.
An optimized crystal structure of CsBiBr2O. Source: Alexandria via LeMat-Bulk, functional PBE-GGA.

Cell: 6.0851 6.0851 4.4306 Å, 90.00 90.00 90.00°
Closest atoms and distances in Å follow each position.
Fractional coordinates of all 5 atoms:
1 Bi 0.0000 0.0000 0.0000  2 O 2.22
2 Cs 0.5000 0.5000 0.5000  8 Br 3.76
3 Br 0.5000 0.0000 0.0000  2 Bi 3.04
4 O 0.0000 0.0000 0.5000  2 Bi 2.22
5 Br 0.0000 0.5000 0.0000  2 Bi 3.04

E_form (uncorrected), eV/atom: -1.139
E, eV/atom: -3.747



9.
An optimized crystal structure of Ac4TmMg2. Source: Alexandria via LeMat-Bulk, functional PBE-GGA.

Cell: 7.1370 7.1370 7.1370 Å, 105.96 111.26 111.26°
Closest atoms and distances in Å follow each position.
Fractional coordinates of all 7 atoms:
1 Ac 0.5000 0.0000 0.0000  2 Tm 3.57, 4 Mg 3.57
2 Ac 0.0000 0.5000 0.0000  4 Mg 3.57, 2 Tm 3.57
3 Mg 0.5000 0.5000 0.0000  8 Ac 3.57
4 Ac 0.0000 0.0000 0.5000  4 Mg 3.57, 2 Tm 3.57
5 Mg 0.5000 0.0000 0.5000  8 Ac 3.57
6 Tm 0.0000 0.0000 0.0000  8 Ac 3.57
7 Ac 0.5000 0.5000 0.5000  4 Mg 3.57, 2 Tm 3.57

E, eV/atom: -3.311



10.
An optimized crystal structure of Zr2AgRh. Source: Alexandria via LeMat-Bulk, functional PBE-GGA.

Cell: 8.5783 8.5783 8.5783 Å, 22.63 22.63 22.63°
Closest atoms and distances in Å follow each position.
Fractional coordinates of all 4 atoms:
1 Zr 0.4911 0.4911 0.4911  3 Rh 2.69
2 Zr 0.0089 0.0089 0.0089  3 Rh 2.69
3 Ag 0.2500 0.2500 0.2500  6 Zr 3.02, 6 Ag 3.37
4 Rh 0.7500 0.7500 0.7500  6 Zr 2.69

E, eV/atom: -6.997



11.
An optimized crystal structure of BeCd2Br. Source: Alexandria via LeMat-Bulk, functional PBE-GGA.

Cell: 6.1447 3.9780 3.9780 Å, 90.00 90.00 90.00°
Closest atoms and distances in Å follow each position.
Fractional coordinates of all 4 atoms:
1 Be 0.5000 0.5000 0.0000  4 Br 2.81
2 Cd 0.0000 0.0000 0.0000  4 Cd 2.81
3 Cd 0.0000 0.5000 0.5000  4 Cd 2.81
4 Br 0.5000 0.0000 0.5000  4 Be 2.81

E_form (uncorrected), eV/atom: 0.485
E above lowest polymorph, eV per atom: 0.4118
E, eV/atom: -1.322



12.
An optimized crystal structure of Pr2Mg6Ga3. Source: Alexandria via LeMat-Bulk, functional PBE-GGA.

Cell: 4.4609 8.2688 8.2688 Å, 120.00 90.00 90.00°
Closest atoms and distances in Å follow each position.
Fractional coordinates of all 11 atoms:
1 Ga 0.5000 0.3902 0.3902  5 Mg 2.68-2.89
2 Pr 0.0000 0.6667 0.3333  9 Mg 3.39-3.71, 6 Ga 3.39
3 Mg 0.0000 0.0000 0.7905  2 Ga 2.68, 2 Mg 3.00
4 Pr 0.0000 0.3333 0.6667  9 Mg 3.39-3.71, 6 Ga 3.39
5 Mg 0.5000 0.2862 0.0000  3 Ga 2.68-2.89
6 Mg 0.5000 0.7138 0.7138  3 Ga 2.68-2.89
7 Ga 0.5000 0.0000 0.6098  5 Mg 2.68-2.89
8 Ga 0.5000 0.6098 0.0000  5 Mg 2.68-2.89
9 Mg 0.0000 0.2095 0.2095  2 Ga 2.68, 2 Mg 3.00
10 Mg 0.5000 0.0000 0.2862  3 Ga 2.68-2.89
11 Mg 0.0000 0.7905 0.0000  2 Ga 2.68, 2 Mg 3.00

E, eV/atom: -2.815